Here is crystalline CaFeO3 at its relaxed geometry from Alexandria. Energies are from PBE+U.

```
data_CaFeO3
_chemical_formula_sum 'Ca1 Fe1 O3'
_symmetry_space_group_name_H-M 'P 1'
_symmetry_Int_Tables_number 1
_symmetry_space_group_name_Hall 'P 1'
_cell_length_a 4.1630
_cell_length_b 4.1630
_cell_length_c 4.1630
_cell_angle_alpha 90.00
_cell_angle_beta 90.00
_cell_angle_gamma 90.00
loop_
_atom_site_label
_atom_site_fract_x
_atom_site_fract_y
_atom_site_fract_z
Ca1 0.0000 0.0000 0.0000
Fe1 0.5000 0.5000 0.5000
O1 0.0000 0.0000 0.5000
O2 0.0000 0.5000 0.0000
O3 0.5000 0.0000 0.0000
```

Calculated values
Magnetic moment in μB per cell: 6.0
VASP energy in eV per atom: -4.750
Space group: Pm-3m, No. 221